(1)
DFT (GGA-PBE) results for a relaxed Zn2FeSb crystal.

Output
VASP energy: -14.220 eV per cell

a b c (Å): 5.0295 5.0189 3.9858
angles (deg): 66.77 66.49 46.74
Fractional coordinates of all 4 atoms:
Zn  0.0000  0.0000  0.0000
Zn  0.2500  0.2500  0.2500
Fe  0.5000  0.5000  0.5000
Sb  0.7500  0.7500  0.7500


(2)
DFT (GGA-PBE) results for a relaxed Ce2Y3HoEr6 crystal.

Output
Calculated formation energy: 0.05 eV/atom

a b c (Å): 6.1052 6.1052 11.6786
angles (deg): 95.00 95.00 119.98
Fractional coordinates of all 12 atoms:
Ce  0.1666  0.8334  0.0000
Ce  0.8334  0.1666  0.0000
Y  0.0000  0.0000  0.5000
Y  0.3340  0.6660  0.5000
Y  0.6660  0.3340  0.5000
Ho  0.5000  0.5000  0.0000
Er  0.0811  0.4165  0.7521
Er  0.2480  0.2480  0.2480
Er  0.4165  0.0811  0.7521
Er  0.5835  0.9189  0.2479
Er  0.7520  0.7520  0.7520
Er  0.9189  0.5835  0.2479


(3)
DFT (GGA-PBE) results for a relaxed Y3Er12In crystal.

Output
Calculated formation energy: -0.04 eV/atom

a b c (Å): 4.9202 4.9202 19.9704
angles (deg): 90.00 90.00 90.00
Fractional coordinates of all 16 atoms:
Y  0.0000  0.0000  0.0000
Y  0.0000  0.0000  0.2517
Y  0.0000  0.0000  0.7483
Er  0.0000  0.5000  0.1267
Er  0.0000  0.5000  0.3793
Er  0.0000  0.5000  0.6207
Er  0.0000  0.5000  0.8733
Er  0.5000  0.0000  0.1267
Er  0.5000  0.0000  0.3793
Er  0.5000  0.0000  0.6207
Er  0.5000  0.0000  0.8733
Er  0.5000  0.5000  0.0000
Er  0.5000  0.5000  0.2559
Er  0.5000  0.5000  0.5000
Er  0.5000  0.5000  0.7441
In  0.0000  0.0000  0.5000


(4)
DFT (GGA-PBE) results for a relaxed La3Pm3HoS8 crystal.

Output
VASP energy: -98.325 eV per cell

a b c (Å): 8.1931 8.1931 8.1931
angles (deg): 59.33 59.33 59.33
Fractional coordinates of all 15 atoms:
La  0.0000  0.5000  0.5000
La  0.5000  0.0000  0.5000
La  0.5000  0.5000  0.0000
Pm  0.0000  0.0000  0.5000
Pm  0.0000  0.5000  0.0000
Pm  0.5000  0.0000  0.0000
Ho  0.5000  0.5000  0.5000
S  0.2475  0.2475  0.2475
S  0.2547  0.7402  0.7402
S  0.2598  0.2598  0.7453
S  0.2598  0.7453  0.2598
S  0.7402  0.2547  0.7402
S  0.7402  0.7402  0.2547
S  0.7453  0.2598  0.2598
S  0.7525  0.7525  0.7525